Entry from Alexandria via LeMat-Bulk: an optimized crystal structure of SrTlGaHg2 (PBE).

## Properties
VASP energy = -8.2 eV/cell

a b c (Å): 5.241 5.241 5.691
angles (deg): 90.00 90.00 90.00
Space group P4/mmm (No. 123)
Unique sites:
Sr 0.000 0.000 0.000
Tl 0.500 0.500 0.000
Ga 0.500 0.500 0.500
Hg 0.000 0.500 0.500